Record 1
First-principles (PBE) data for a relaxed structure of Rb3ZrBi2Se6, as listed in the Alexandria database.

Crystal system = monoclinic

Structure (CIF):
```
data_Rb3ZrBi2Se6
_chemical_formula_sum 'Rb6 Zr2 Bi4 Se12'
_space_group_name_H-M_alt 'C 1 2/m 1'
_space_group_IT_number 12
_space_group_name_Hall '-C 2y'
_cell_length_a 7.497
_cell_length_b 13.028
_cell_length_c 8.226
_cell_angle_alpha 90.00
_cell_angle_beta 107.77
_cell_angle_gamma 90.00
loop_
_atom_site_label
_atom_site_type_symbol
_atom_site_fract_x
_atom_site_fract_y
_atom_site_fract_z
Rb1 Rb 0.000 0.000 0.000
Rb2 Rb 0.000 0.328 0.000
Zr1 Zr 0.000 0.500 0.500
Bi1 Bi 0.000 0.166 0.500
Se1 Se 0.219 0.345 0.693
Se2 Se 0.244 0.500 0.305
```

---

Record 2
First-principles (PBE) data for a relaxed structure of KGa3O, as listed in the Alexandria database.

Crystal system = cubic

Structure (CIF):
```
data_KGa3O
_chemical_formula_sum 'K1 Ga3 O1'
_space_group_name_H-M_alt 'P m -3 m'
_space_group_IT_number 221
_space_group_name_Hall '-P 4 2 3'
_cell_length_a 5.880
_cell_length_b 5.880
_cell_length_c 5.880
_cell_angle_alpha 90.00
_cell_angle_beta 90.00
_cell_angle_gamma 90.00
loop_
_atom_site_label
_atom_site_type_symbol
_atom_site_fract_x
_atom_site_fract_y
_atom_site_fract_z
K1 K 0.000 0.000 0.000
Ga1 Ga 0.000 0.000 0.500
O1 O 0.500 0.500 0.500
```

---

For reference, N(E_F) by record: 0.48, 0.68 states/eV/atom.
For reference, formation energy (no corrections) by record: -0.9319, 1.3737 eV/atom.